First-principles (PBE) data for a relaxed structure of Ba2CaOs2N6, as listed in Alexandria.

Lattice parameters (Å, degrees): 6.1717 6.1717 18.8951 90.00 90.00 120.00
With the nearest neighbours (Å) after each atom.
Space group R-3m (No. 166, hexagonal axes)
Symmetry-distinct sites (fractional):
Ba 0.0000 0.0000 0.2129  9 N 2.99-3.15
Ca 0.0000 0.0000 0.0000  6 N 2.46
Os 0.0000 0.0000 0.4051  3 N 1.77
N 0.0077 0.5038 0.2456  1 Os 1.77

**Raw formation energy**: -0.38 eV per atom
**Theoretical density**: 6.2 g cm⁻³

First-principles (PBE) data for a relaxed structure of GaSb2Rh2, as listed in Alexandria.

Lattice parameters (Å, degrees): 4.1169 4.1169 13.5497 90.00 90.00 90.00
With the nearest neighbours (Å) after each atom.
Space group I4/mmm (No. 139)
Symmetry-distinct sites (fractional):
Ga 0.0000 0.0000 0.0000  8 Sb 3.42
Sb 0.0000 0.0000 0.3679  4 Rh 2.61
Rh 0.0000 0.5000 0.2500  4 Sb 2.61, 4 Rh 2.91

**Raw formation energy**: -0.17 eV per atom
**Theoretical density**: 7.5 g cm⁻³
**Energy above the lowest structure with this stoichiometry**: 0.0000 eV/atom

First-principles (PBE) data for a relaxed structure of SrPaCd2O6, as listed in Alexandria.

Lattice parameters (Å, degrees): 5.8887 5.8887 15.8799 90.00 90.00 120.00
With the nearest neighbours (Å) after each atom.
Space group R3 (No. 146, hexagonal axes)
Symmetry-distinct sites (fractional):
Sr 0.0000 0.0000 0.0000  6 O 2.46-2.61
Pa 0.0000 0.0000 0.4873  6 O 2.19-2.20
Cd 0.0000 0.0000 0.2764  6 O 2.26-2.51
Cd 0.0000 0.0000 0.7885  6 O 2.25-2.44
O 0.0224 0.3391 0.5532  1 Pa 2.20, 2 Cd 2.26-2.44
O 0.0253 0.7349 0.3964  1 Pa 2.19, 1 Cd 2.25

**Raw formation energy**: -2.18 eV per atom
**Theoretical density**: 6.7 g cm⁻³

First-principles (PBE) data for a relaxed structure of Rb2SrNbO4, as listed in Alexandria.

Lattice parameters (Å, degrees): 6.4241 6.4241 8.4958 90.00 90.00 90.00
With the nearest neighbours (Å) after each atom.
Space group I-4 (No. 82)
Symmetry-distinct sites (fractional):
Rb 0.0000 0.0000 0.0000  4 O 2.96
Rb 0.0000 0.5000 0.2500  4 O 2.93
Sr 0.0000 0.0000 0.5000  4 O 2.42
Nb 0.0000 0.5000 0.7500  4 O 1.94
O 0.1564 0.2733 0.6563  1 Nb 1.94

**Raw formation energy**: -2.16 eV per atom
**Theoretical density**: 3.9 g cm⁻³

First-principles (PBE) data for a relaxed structure of CaHoCuAu, as listed in Alexandria.

Lattice parameters (Å, degrees): 4.5680 3.8318 10.7371 90.00 90.00 90.00
With the nearest neighbours (Å) after each atom.
Space group Amm2 (No. 38)
Symmetry-distinct sites (fractional):
Ca 0.0000 0.0000 0.0000  3 Cu 2.97-3.07, 4 Au 3.07
Ho 0.5000 0.0000 0.7196  3 Au 2.98-3.09, 4 Cu 3.04
Cu 0.0000 0.0000 0.2770  2 Au 2.83, 3 Ca 2.97-3.07, 4 Ho 3.04
Au 0.5000 0.0000 0.4320  2 Cu 2.83, 3 Ho 2.98-3.09, 4 Ca 3.07

**Theoretical density**: 8.2 g cm⁻³
**Energy above the lowest structure with this stoichiometry**: 0.0000 eV/atom

First-principles (PBE) data for a relaxed structure of VAgS2, as listed in Alexandria.

Lattice parameters (Å, degrees): 6.1960 3.1828 7.8141 90.00 99.25 90.00
With the nearest neighbours (Å) after each atom.
Space group Pm (No. 6)
Symmetry-distinct sites (fractional):
V 0.0000 0.0000 0.0000  5 S 2.30-2.38
V 0.2857 0.5000 0.1997  5 S 2.32-2.37
Ag 0.1138 0.5000 0.5296  4 S 2.46-2.74
Ag 0.5540 0.0000 0.7399  4 S 2.51-2.69
S 0.3721 0.0000 0.0046  3 V 2.30-2.32, 1 Ag 2.51
S 0.4139 0.0000 0.4163  2 V 2.37, 1 Ag 2.54
S 0.9058 0.5000 0.1929  3 V 2.33-2.35
S 0.9082 0.5000 0.7733  2 V 2.38, 1 Ag 2.46

**Raw formation energy**: -0.57 eV per atom
**Theoretical density**: 4.9 g cm⁻³

First-principles (PBE) data for a relaxed structure of InCoRe, as listed in Alexandria.

Lattice parameters (Å, degrees): 2.8447 2.8447 6.6307 90.00 90.00 120.00
With the nearest neighbours (Å) after each atom.
Space group P3m1 (No. 156)
Symmetry-distinct sites (fractional):
In 0.0000 0.0000 0.0000  3 Co 2.77, 6 In 2.84, 3 Re 2.98
Co 0.3333 0.6667 0.6634  3 Re 2.52, 3 In 2.77
Re 0.6667 0.3333 0.3752  3 Co 2.52

**Theoretical density**: 12.9 g cm⁻³
**Energy above the lowest structure with this stoichiometry**: 0.1458 eV/atom

First-principles (PBE) data for a relaxed structure of TlSn2PtAu, as listed in Alexandria.

Lattice parameters (Å, degrees): 4.9128 4.9128 6.4160 90.00 90.00 90.00
With the nearest neighbours (Å) after each atom.
Space group P4mm (No. 99)
Symmetry-distinct sites (fractional):
Tl 0.0000 0.0000 0.0000  1 Pt 2.77
Sn 0.0000 0.5000 0.4057  2 Pt 2.67, 2 Au 2.80
Pt 0.0000 0.0000 0.5687  4 Sn 2.67, 1 Tl 2.77
Au 0.5000 0.5000 0.1958  4 Sn 2.80

**Uncorrected energy**: -4.00 eV per atom
**Theoretical density**: 8.9 g cm⁻³

First-principles (PBE) data for a relaxed structure of ScCu2Re, as listed in Alexandria.

Lattice parameters (Å, degrees): 2.7797 2.7797 27.0387 90.00 90.00 120.00
With the nearest neighbours (Å) after each atom.
Space group R-3m (No. 166, hexagonal axes)
Symmetry-distinct sites (fractional):
Sc 0.0000 0.0000 0.0000  6 Sc 2.78, 6 Cu 2.84
Cu 0.0000 0.0000 0.2465  3 Re 2.69, 6 Cu 2.78, 3 Sc 2.84
Re 0.0000 0.0000 0.5000  6 Cu 2.69, 6 Re 2.78

**Theoretical density**: 9.9 g cm⁻³
**Energy above the lowest structure with this stoichiometry**: 0.2515 eV/atom

First-principles (PBE) data for a relaxed structure of CePmGe2Pt5, as listed in Alexandria.

Lattice parameters (Å, degrees): 4.3560 4.3560 8.9980 90.00 90.00 90.00
With the nearest neighbours (Å) after each atom.
Space group P4/mmm (No. 123)
Symmetry-distinct sites (fractional):
Ce 0.0000 0.0000 0.0000  8 Pt 3.27, 8 Ge 3.32
Pm 0.0000 0.0000 0.5000  12 Pt 2.99-3.08
Ge 0.5000 0.5000 0.1381  1 Ge 2.49, 4 Pt 2.49
Pt 0.0000 0.5000 0.2716  2 Ge 2.49
Pt 0.5000 0.5000 0.5000  8 Pt 2.99, 4 Pm 3.08, 2 Ge 3.26

**Uncorrected energy**: -6.45 eV per atom
**Theoretical density**: 13.7 g cm⁻³

First-principles (PBE) data for a relaxed structure of TmAl2Cu5, as listed in Alexandria.

Lattice parameters (Å, degrees): 3.5219 6.9143 10.0862 90.00 90.00 90.00
With the nearest neighbours (Å) after each atom.
Space group Immm (No. 71)
Symmetry-distinct sites (fractional):
Tm 0.0000 0.0000 0.0000  8 Cu 3.04, 4 Al 3.08
Al 0.0000 0.5000 0.2492  7 Cu 2.45-2.53
Cu 0.0000 0.1936 0.3716  3 Al 2.45-2.53, 4 Cu 2.56-2.68
Cu 0.0000 0.5000 0.0000  2 Al 2.51, 8 Cu 2.56

**Uncorrected energy**: -4.24 eV per atom
**Theoretical density**: 7.3 g cm⁻³

First-principles (PBE) data for a relaxed structure of Nd8CuRh2, as listed in Alexandria.

Lattice parameters (Å, degrees): 8.5426 12.6668 6.4141 90.00 108.47 90.00
With the nearest neighbours (Å) after each atom.
Space group Cm (No. 8)
Symmetry-distinct sites (fractional):
Nd 0.0000 0.0000 0.0000  2 Rh 3.03, 1 Cu 3.33
Nd 0.0667 0.3664 0.8071  2 Rh 2.86-2.87, 1 Cu 3.14
Nd 0.1416 0.1358 0.5665  2 Rh 2.88, 1 Cu 2.99
Nd 0.2168 0.5000 0.3898  2 Rh 3.04, 1 Cu 3.06
Nd 0.3479 0.2107 0.1890  1 Cu 2.98
Cu 0.3613 0.0000 0.3991  8 Nd 2.98-3.33
Rh 0.3568 0.3160 0.6968  6 Nd 2.86-3.04

**Uncorrected energy**: -5.38 eV per atom
**Theoretical density**: 7.2 g cm⁻³

First-principles (PBE) data for a relaxed structure of In2SiF, as listed in Alexandria.

Lattice parameters (Å, degrees): 5.3921 5.3921 13.4441 90.00 90.00 90.00
With the nearest neighbours (Å) after each atom.
Space group I-42d (No. 122)
Symmetry-distinct sites (fractional):
In 0.2164 0.2500 0.1250  2 F 2.45, 2 Si 2.64
Si 0.0000 0.0000 0.5000  4 In 2.64
F 0.0000 0.0000 0.0000  4 In 2.45

**Raw formation energy**: -0.47 eV per atom
**Theoretical density**: 4.7 g cm⁻³
**Energy above the lowest structure with this stoichiometry**: 0.0401 eV/atom

First-principles (PBE) data for a relaxed structure of VCo4Ir, as listed in Alexandria.

Lattice parameters (Å, degrees): 6.5950 6.5950 6.5950 90.00 90.00 90.00
With the nearest neighbours (Å) after each atom.
Space group F-43m (No. 216)
Symmetry-distinct sites (fractional):
V 0.0000 0.0000 0.0000  12 Co 2.73, 4 Ir 2.86
Co 0.1250 0.1250 0.6250  6 Co 2.33
Ir 0.2500 0.2500 0.2500  12 Co 2.73, 4 V 2.86

**Theoretical density**: 11.1 g cm⁻³
**Energy above the lowest structure with this stoichiometry**: 0.0356 eV/atom

First-principles (PBE) data for a relaxed structure of Ac3TeRuO, as listed in Alexandria.

Lattice parameters (Å, degrees): 9.6372 4.3501 9.6701 90.00 104.65 90.00
With the nearest neighbours (Å) after each atom.
Space group P2_1/m (No. 11)
Symmetry-distinct sites (fractional):
Ac 0.0292 0.2500 0.1745  3 O 2.44-2.50
Ac 0.3424 0.7500 0.5579  3 Ru 2.88-3.04
Ac 0.3582 0.7500 0.1388  1 O 2.47
Te 0.2637 0.2500 0.8234  7 Ac 3.57-3.67, 3 O 3.78-3.96
Ru 0.3494 0.2500 0.3397  6 Ac 2.88-3.09
O 0.0930 0.7500 0.0798  4 Ac 2.44-2.50

**Raw formation energy**: -1.46 eV per atom
**Theoretical density**: 7.8 g cm⁻³

First-principles (PBE) data for a relaxed structure of HfTaBr2, as listed in Alexandria.

Lattice parameters (Å, degrees): 4.4488 4.4488 17.8142 90.00 90.00 90.00
With the nearest neighbours (Å) after each atom.
Space group I-42d (No. 122)
Symmetry-distinct sites (fractional):
Hf 0.0000 0.0000 0.0000  4 Br 2.74
Ta 0.0000 0.0000 0.5000  4 Br 2.72
Br 0.2449 0.2500 0.6250  2 Ta 2.72, 2 Hf 2.74

**Raw formation energy**: 0.26 eV per atom
**Theoretical density**: 9.8 g cm⁻³
**Energy above the lowest structure with this stoichiometry**: 0.2624 eV/atom

First-principles (PBE) data for a relaxed structure of YZn2In2, as listed in Alexandria.

Lattice parameters (Å, degrees): 8.1704 8.1704 3.3784 90.00 90.00 90.00
With the nearest neighbours (Å) after each atom.
Space group P4/mbm (No. 127)
Symmetry-distinct sites (fractional):
Y 0.0000 0.0000 0.0000  4 In 3.19, 2 Y 3.38, 8 Zn 3.48
Zn 0.1682 0.3318 0.5000  6 In 2.86-2.99
In 0.1321 0.6321 0.0000  6 Zn 2.86-2.99, 1 In 3.05, 2 Y 3.19

**Uncorrected energy**: -2.97 eV per atom
**Theoretical density**: 6.6 g cm⁻³

First-principles (PBE) data for a relaxed structure of Nd2Zn15Ni2, as listed in Alexandria.

Lattice parameters (Å, degrees): 8.9526 8.9526 13.2021 90.00 90.00 120.00
With the nearest neighbours (Å) after each atom.
Space group R-3m (No. 166, hexagonal axes)
Symmetry-distinct sites (fractional):
Nd 0.0000 0.0000 0.1655  1 Ni 3.08, 15 Zn 3.24-3.40
Zn 0.0000 0.2813 0.5000  8 Zn 2.52-2.81
Zn 0.0000 0.5000 0.0000  8 Zn 2.57-2.59, 2 Ni 2.73
Zn 0.0014 0.5007 0.3477  8 Zn 2.59-2.81, 1 Ni 2.78
Ni 0.0000 0.0000 0.3990  1 Ni 2.67, 12 Zn 2.73-2.85

**Uncorrected energy**: -2.36 eV per atom
**Theoretical density**: 7.5 g cm⁻³

First-principles (PBE) data for a relaxed structure of CaTlAu2, as listed in Alexandria.

Lattice parameters (Å, degrees): 4.8205 4.8205 18.9139 90.00 90.00 90.00
With the nearest neighbours (Å) after each atom.
Space group I-42d (No. 122)
Symmetry-distinct sites (fractional):
Ca 0.0000 0.0000 0.0000  4 Au 3.00
Tl 0.0000 0.0000 0.5000  4 Au 2.84
Au 0.2114 0.2500 0.6250  2 Tl 2.84, 2 Ca 3.00, 2 Au 3.16

**Uncorrected energy**: -2.91 eV per atom
**Theoretical density**: 9.6 g cm⁻³

First-principles (PBE) data for a relaxed structure of Li3Cd2Hg5, as listed in Alexandria.

Lattice parameters (Å, degrees): 9.6118 13.5549 6.5454 90.00 94.00 90.00
With the nearest neighbours (Å) after each atom.
Space group C2/c (No. 15)
Symmetry-distinct sites (fractional):
Li 0.0000 0.0354 0.2500  8 Hg 2.80-3.01
Li 0.1316 0.3617 0.6028  6 Hg 2.80-3.01, 1 Cd 3.08
Cd 0.1396 0.2583 0.1552  2 Cd 3.03-3.05, 4 Li 3.08-3.38, 6 Hg 3.08-3.19
Hg 0.0000 0.4609 0.2500  4 Li 2.89-2.91, 4 Hg 3.12-3.22, 2 Cd 3.14
Hg 0.1078 0.1558 0.5880  4 Li 2.80-3.01, 2 Hg 3.07-3.10, 2 Cd 3.08-3.10
Hg 0.2343 0.0514 0.0220  4 Li 2.80-3.01, 2 Cd 3.09-3.11, 2 Hg 3.10-3.12

**Uncorrected energy**: -1.11 eV per atom
**Theoretical density**: 9.7 g cm⁻³